PBE SrSb2Te, optimized geometry; symmetry = Fmmm (69); formation energy without anion corrections = -0.58 eV/atom; E_tot = -3.851 eV/atom
1.0
0.000 3.323 5.991
3.248 0.000 5.991
3.248 3.323 0.000
Sr Sb Te
1 2 1
direct
0.000 0.000 0.000
0.000 0.500 0.500
0.500 0.000 0.000
0.500 0.500 0.500